(1)
Computed, not measured: ZrBeSb2Rh after structural relaxation at the PBEsol level of DFT.

Summary:
Mass density: 5385 kg/m³
Final energy: -24.7 eV per cell
Formation energy without anion corrections: 1.14 eV per atom
Density of states at the Fermi level: 4.380 states/eV per cell

Unit cell a=5.4294 b=5.4294 c=4.6720 alpha=90.00 beta=90.00 gamma=90.00
With the nearest neighbours (Å) after each atom.
Space group P4/mmm (No. 123)
One atom of each set of equivalent atoms:
Zr1 0.0000 0.0000 0.0000  2 Rh 2.34
Be1 0.5000 0.5000 0.5000  8 Sb 3.58, 4 Rh 3.84
Sb1 0.0000 0.5000 0.0000  2 Zr 2.71
Rh1 0.0000 0.0000 0.5000  2 Zr 2.34

***

(2)
Computed, not measured: La5Ag3 after structural relaxation at the PBEsol level of DFT.

Summary:
Mass density: 7668 kg/m³
Final energy: -74.8 eV per cell
E_form: -94 meV/atom
Density of states at the Fermi level: 22.145 states/eV per cell

Unit cell a=7.8017 b=10.5296 c=5.3678 alpha=90.00 beta=90.00 gamma=90.00
With the nearest neighbours (Å) after each atom.
Space group Cmmm (No. 65)
One atom of each set of equivalent atoms:
La1 0.0000 0.0000 0.0000  8 La 3.28-3.49, 4 Ag 3.55
La2 0.2143 0.5000 0.5000  6 Ag 3.16-3.38, 3 La 3.34-3.49
La3 0.2500 0.2500 0.0000  2 La 3.28, 6 Ag 3.28-3.33
Ag1 0.0000 0.2212 0.5000  10 La 3.22-3.55
Ag2 0.0000 0.5000 0.0000  8 La 3.16-3.28

***

(3)
Computed, not measured: Bi3AsPt after structural relaxation at the PBEsol level of DFT.

Summary:
Mass density: 9863 kg/m³
Final energy: -22.2 eV per cell
E_form: 542 meV/atom
Density of states at the Fermi level: 3.481 states/eV per cell

Unit cell a=5.3252 b=5.3252 c=5.3252 alpha=90.00 beta=90.00 gamma=90.00
With the nearest neighbours (Å) after each atom.
Space group Pm-3m (No. 221)
One atom of each set of equivalent atoms:
Bi1 0.0000 0.0000 0.5000  2 Pt 2.66
As1 0.5000 0.5000 0.5000  12 Bi 3.77
Pt1 0.0000 0.0000 0.0000  6 Bi 2.66

***

(4)
Computed, not measured: BaN2 after structural relaxation at the PBEsol level of DFT.

Summary:
Mass density: 5046 kg/m³
Final energy: -84.7 eV per cell
Formation energy without anion corrections: -0.66 eV per atom
Density of states at the Fermi level: 5.068 states/eV per cell

Unit cell a=7.1185 b=4.3816 c=7.2177 alpha=90.00 beta=104.81 gamma=90.00
With the nearest neighbours (Å) after each atom.
Space group C2/c (No. 15)
One atom of each set of equivalent atoms:
Ba1 0.0000 0.2035 0.2500  6 N 2.63-2.94
N1 0.2026 0.3547 0.9545  1 N 1.23

***

(5)
Computed, not measured: Tl2Si2I after structural relaxation at the PBEsol level of DFT.

Summary:
Mass density: 7651 kg/m³
Final energy: -33.9 eV per cell
Formation energy without anion corrections: 0.32 eV per atom
Density of states at the Fermi level: 5.284 states/eV per cell

Unit cell a=5.1285 b=5.1285 c=9.7677 alpha=90.00 beta=90.00 gamma=90.00
With the nearest neighbours (Å) after each atom.
Space group I4/mmm (No. 139)
One atom of each set of equivalent atoms:
Tl1 0.0000 0.5000 0.2500  4 Si 2.87
Si1 0.0000 0.0000 0.1192  1 Si 2.33
I1 0.0000 0.0000 0.5000  8 Tl 3.54, 10 Si 3.72-3.81

***

(6)
Computed, not measured: ZnFeN2 after structural relaxation at the PBEsol level of DFT.

Summary:
Mass density: 5972 kg/m³
Final energy: -111.0 eV per cell
Formation energy without anion corrections: -0.04 eV per atom
Density of states at the Fermi level: 9.972 states/eV per cell

Unit cell a=4.3653 b=4.3653 c=8.7129 alpha=90.00 beta=90.00 gamma=90.00
With the nearest neighbours (Å) after each atom.
Space group I-42d (No. 122)
One atom of each set of equivalent atoms:
Zn1 0.0000 0.0000 0.0000  4 N 2.01
Fe1 0.0000 0.0000 0.5000  4 N 1.78
N1 0.2049 0.2500 0.6250  2 Fe 1.78

***

(7)
Computed, not measured: CdNi after structural relaxation at the PBEsol level of DFT.

Summary:
Mass density: 9742 kg/m³
Final energy: -28.9 eV per cell
E_form: 61 meV/atom
Density of states at the Fermi level: 5.732 states/eV per cell

Unit cell a=9.5840 b=2.8186 c=4.5463 alpha=90.00 beta=108.21 gamma=90.00
With the nearest neighbours (Å) after each atom.
Space group C2/m (No. 12)
One atom of each set of equivalent atoms:
Cd1 0.1081 0.0000 0.3231  7 Ni 2.69-2.71, 3 Cd 2.82-2.99
Ni1 0.1468 0.5000 0.8508  2 Ni 2.46, 7 Cd 2.69-2.71

***

(8)
Computed, not measured: ZnInPt2 after structural relaxation at the PBEsol level of DFT.

Summary:
Mass density: 14750 kg/m³
Final energy: -58.9 eV per cell
E_form: -284 meV/atom
Density of states at the Fermi level: 5.178 states/eV per cell

Unit cell a=2.9803 b=2.9803 c=25.0428 alpha=90.00 beta=90.00 gamma=120.00
With the nearest neighbours (Å) after each atom.
Space group R-3m (No. 166, hexagonal axes)
One atom of each set of equivalent atoms:
Zn1 0.0000 0.0000 0.0000  6 Pt 2.60
In1 0.0000 0.0000 0.5000  6 Pt 2.81, 6 In 2.98
Pt1 0.0000 0.0000 0.2552  3 Zn 2.60, 3 In 2.81

***

(9)
Computed, not measured: CaCuP3 after structural relaxation at the PBEsol level of DFT.

Summary:
Mass density: 2576 kg/m³
Final energy: -16.4 eV per cell
E_form: 1484 meV/atom
Density of states at the Fermi level: 3.085 states/eV per cell

Unit cell a=5.0225 b=5.0225 c=5.0225 alpha=90.00 beta=90.00 gamma=90.00
With the nearest neighbours (Å) after each atom.
Space group Pm-3m (No. 221)
One atom of each set of equivalent atoms:
Ca1 0.0000 0.0000 0.0000  6 P 2.51
Cu1 0.5000 0.5000 0.5000  12 P 3.55
P1 0.0000 0.0000 0.5000  2 Ca 2.51

***

(10)
Computed, not measured: ZnPtPb2 after structural relaxation at the PBEsol level of DFT.

Summary:
Mass density: 13219 kg/m³
Final energy: -32.1 eV per cell
E_form: 125 meV/atom
Density of states at the Fermi level: 3.274 states/eV per cell

Unit cell a=6.6253 b=6.8540 c=3.7339 alpha=90.00 beta=90.00 gamma=90.00
With the nearest neighbours (Å) after each atom.
Space group Cmmm (No. 65)
One atom of each set of equivalent atoms:
Zn1 0.0000 0.0000 0.0000  8 Pb 3.03, 2 Pt 3.31
Pt1 0.0000 0.5000 0.0000  8 Pb 3.03, 2 Zn 3.31
Pb1 0.2500 0.2500 0.5000  4 Pt 3.03, 4 Zn 3.03, 2 Pb 3.31

***

(11)
Computed, not measured: BeTl4W after structural relaxation at the PBEsol level of DFT.

Summary:
Mass density: 12087 kg/m³
Final energy: -77.2 eV per cell
E_form: 1506 meV/atom
Density of states at the Fermi level: 8.312 states/eV per cell

Unit cell a=8.2192 b=8.2192 c=8.2192 alpha=90.00 beta=90.00 gamma=90.00
With the nearest neighbours (Å) after each atom.
Space group F-43m (No. 216)
One atom of each set of equivalent atoms:
Be1 0.0000 0.0000 0.0000  12 Tl 3.41, 4 W 3.56
Tl1 0.1249 0.1249 0.3751  6 Tl 2.90-2.91
W1 0.2500 0.2500 0.7500  12 Tl 3.41, 4 Be 3.56

***

(12)
Computed, not measured: CsRuN2 after structural relaxation at the PBEsol level of DFT.

Summary:
Mass density: 5756 kg/m³
Final energy: -112.7 eV per cell
Formation energy without anion corrections: 0.00 eV per atom
Density of states at the Fermi level: 6.050 states/eV per cell

Unit cell a=6.0227 b=6.0227 c=8.3342 alpha=90.00 beta=90.00 gamma=90.00
With the nearest neighbours (Å) after each atom.
Space group I-42d (No. 122)
One atom of each set of equivalent atoms:
Cs1 0.0000 0.0000 0.0000  8 N 3.32-3.48, 4 Ru 3.66, 4 Cs 3.66
Ru1 0.0000 0.0000 0.5000  4 N 1.85
N1 0.0400 0.7500 0.6250  2 Ru 1.85

***

(13)
Computed, not measured: La2H2Rh after structural relaxation at the PBEsol level of DFT.

Summary:
Mass density: 7430 kg/m³
Final energy: -56.6 eV per cell
Density of states at the Fermi level: 3.740 states/eV per cell

Unit cell a=3.6149 b=3.6149 c=13.0917 alpha=90.00 beta=90.00 gamma=90.00
With the nearest neighbours (Å) after each atom.
Space group I4/mmm (No. 139)
One atom of each set of equivalent atoms:
La1 0.0000 0.0000 0.1307  4 H 2.39
H1 0.0000 0.5000 0.2500  4 La 2.39, 4 H 2.56
Rh1 0.0000 0.0000 0.5000  8 La 3.08

***

(14)
Computed, not measured: Cu2PO4F after structural relaxation at the PBEsol level of DFT.

Summary:
Mass density: 4689 kg/m³
Final energy: -391.8 eV per cell
Formation energy without anion corrections: -1.45 eV per atom
Density of states at the Fermi level: 18.399 states/eV per cell

Unit cell a=12.7355 b=6.1795 c=9.9588 alpha=90.00 beta=119.38 gamma=90.00
With the nearest neighbours (Å) after each atom.
Space group C2/c (No. 15)
One atom of each set of equivalent atoms:
Cu1 0.0618 0.2408 0.0033  3 O 1.94-2.02, 1 F 1.96
Cu2 0.1535 0.3871 0.3505  3 O 1.92-2.01, 1 F 1.95
P1 0.1722 0.1050 0.8025  4 O 1.53-1.56
O1 0.0753 0.0651 0.6346  1 P 1.53
O2 0.1359 0.3020 0.8687  1 P 1.56
O3 0.1864 0.0882 0.4077  1 P 1.54
O4 0.2051 0.3449 0.1913  1 P 1.56
F1 0.0242 0.3822 0.4023  2 Cu 1.95-1.96

***

(15)
Computed, not measured: Cu2H3ClO3 after structural relaxation at the PBEsol level of DFT.

Summary:
Mass density: 3857 kg/m³
Final energy: -173.2 eV per cell
Density of states at the Fermi level: 11.872 states/eV per cell

Unit cell a=9.8852 b=6.8273 c=6.0012 alpha=90.00 beta=114.76 gamma=90.00
With the nearest neighbours (Å) after each atom.
Space group C2/m (No. 12)
One atom of each set of equivalent atoms:
Cu1 0.0000 0.0000 0.0000  6 O 2.03-2.10
Cu2 0.0000 0.0000 0.5000  4 O 1.95
Cu3 0.2500 0.2500 0.0000  4 O 1.95-1.97
H1 0.0226 0.3039 0.2785  1 O 1.00
H2 0.2288 0.5000 0.6735  1 O 1.01
Cl1 0.1800 0.5000 0.3179  3 H 1.98-1.99
O1 0.0476 0.1894 0.7658  1 H 1.00
O2 0.2257 0.0000 0.1418  1 H 1.01

***

(16)
Computed, not measured: Ca3SnN after structural relaxation at the PBEsol level of DFT.

Summary:
Mass density: 3689 kg/m³
Final energy: -23.6 eV per cell
Formation energy without anion corrections: -0.89 eV per atom
Density of states at the Fermi level: 4.384 states/eV per cell

Unit cell a=4.8468 b=4.8468 c=4.8468 alpha=90.00 beta=90.00 gamma=90.00
With the nearest neighbours (Å) after each atom.
Space group Pm-3m (No. 221)
One atom of each set of equivalent atoms:
Ca1 0.0000 0.0000 0.5000  2 N 2.42
Sn1 0.5000 0.5000 0.5000  12 Ca 3.43
N1 0.0000 0.0000 0.0000  6 Ca 2.42

***

(17)
Computed, not measured: TaPt2Se after structural relaxation at the PBEsol level of DFT.

Summary:
Mass density: 16862 kg/m³
Final energy: -61.4 eV per cell
Formation energy without anion corrections: -0.10 eV per atom
Density of states at the Fermi level: 7.557 states/eV per cell

Unit cell a=3.8748 b=3.8748 c=8.5279 alpha=90.00 beta=90.00 gamma=90.00
With the nearest neighbours (Å) after each atom.
Space group I4/mmm (No. 139)
One atom of each set of equivalent atoms:
Ta1 0.0000 0.0000 0.0000  4 Se 2.74, 8 Pt 2.88
Pt1 0.0000 0.5000 0.2500  4 Pt 2.74, 4 Ta 2.88, 4 Se 2.88
Se1 0.0000 0.0000 0.5000  4 Ta 2.74, 8 Pt 2.88

***

(18)
Computed, not measured: KScIrPt2 after structural relaxation at the PBEsol level of DFT.

Summary:
Mass density: 9159 kg/m³
Final energy: -26.3 eV per cell
E_form: 1032 meV/atom
Density of states at the Fermi level: 7.322 states/eV per cell

Unit cell a=4.8508 b=4.8508 c=5.1350 alpha=90.00 beta=90.00 gamma=90.00
With the nearest neighbours (Å) after each atom.
Space group P4/mmm (No. 123)
One atom of each set of equivalent atoms:
K1 0.0000 0.0000 0.0000  2 Ir 2.57
Sc1 0.5000 0.5000 0.0000  4 K 3.43, 8 Pt 3.53
Ir1 0.0000 0.0000 0.5000  4 Pt 2.43, 2 K 2.57
Pt1 0.0000 0.5000 0.5000  2 Ir 2.43

***

(19)
Computed, not measured: NbTlTeO6 after structural relaxation at the PBEsol level of DFT.

Summary:
Mass density: 6205 kg/m³
Final energy: -251.0 eV per cell
Formation energy without anion corrections: -1.59 eV per atom
Density of states at the Fermi level: 0.000 states/eV per cell

Unit cell a=7.2553 b=10.2695 c=7.4832 alpha=90.00 beta=90.00 gamma=90.00
With the nearest neighbours (Å) after each atom.
Space group Ima2 (No. 46)
One atom of each set of equivalent atoms:
Nb1 0.2500 0.2388 0.0000  5 O 1.85-2.03
Tl1 0.2500 0.6185 0.8164  3 O 2.78-3.05
Te1 0.0000 0.0000 0.7269  6 O 1.91-1.96
O1 0.0544 0.1222 0.9115  1 Te 1.91, 1 Nb 1.97
O2 0.0552 0.1229 0.5413  1 Te 1.92, 1 Nb 2.03
O3 0.2500 0.1824 0.2347  1 Nb 1.85
O4 0.2500 0.5732 0.2188  2 Te 1.96

***

(20)
Computed, not measured: Y2AlSi after structural relaxation at the PBEsol level of DFT.

Summary:
Mass density: 4251 kg/m³
Final energy: -52.6 eV per cell
Formation energy without anion corrections: -0.71 eV per atom
Density of states at the Fermi level: 5.566 states/eV per cell

Unit cell a=3.9523 b=4.2850 c=10.7435 alpha=90.00 beta=90.00 gamma=90.00
With the nearest neighbours (Å) after each atom.
Space group Amm2 (No. 38)
One atom of each set of equivalent atoms:
Y1 0.0000 0.0000 0.0000  4 Si 3.00, 3 Al 3.09-3.13
Y2 0.5000 0.0000 0.2828  4 Al 3.01, 3 Si 3.03-3.17
Al1 0.0000 0.0000 0.7128  2 Si 2.54
Si1 0.5000 0.0000 0.5649  2 Al 2.54

***

(21)
Computed, not measured: Al3BiO after structural relaxation at the PBEsol level of DFT.

Summary:
Mass density: 5732 kg/m³
Final energy: -23.2 eV per cell
Formation energy without anion corrections: -0.27 eV per atom
Density of states at the Fermi level: 2.689 states/eV per cell

Unit cell a=4.4584 b=4.4584 c=4.4584 alpha=90.00 beta=90.00 gamma=90.00
With the nearest neighbours (Å) after each atom.
Space group Pm-3m (No. 221)
One atom of each set of equivalent atoms:
Al1 0.0000 0.0000 0.5000  2 O 2.23
Bi1 0.5000 0.5000 0.5000  12 Al 3.15
O1 0.0000 0.0000 0.0000  6 Al 2.23

***

(22)
Computed, not measured: CaCdPt2 after structural relaxation at the PBEsol level of DFT.

Summary:
Mass density: 12556 kg/m³
Final energy: -38.9 eV per cell
E_form: -547 meV/atom
Density of states at the Fermi level: 2.260 states/eV per cell

Unit cell a=4.3019 b=4.3019 c=7.7557 alpha=90.00 beta=90.00 gamma=90.00
With the nearest neighbours (Å) after each atom.
Space group I4/mmm (No. 139)
One atom of each set of equivalent atoms:
Ca1 0.0000 0.0000 0.0000  8 Pt 2.90, 4 Cd 3.04
Cd1 0.0000 0.0000 0.5000  8 Pt 2.90, 4 Ca 3.04
Pt1 0.0000 0.5000 0.2500  4 Cd 2.90, 4 Ca 2.90, 4 Pt 3.04

***

(23)
Computed, not measured: ScMoRh2 after structural relaxation at the PBEsol level of DFT.

Summary:
Mass density: 9587 kg/m³
Final energy: -140.7 eV per cell
E_form: -134 meV/atom
Density of states at the Fermi level: 29.175 states/eV per cell

Unit cell a=6.2163 b=6.2163 c=6.2163 alpha=90.00 beta=90.00 gamma=90.00
With the nearest neighbours (Å) after each atom.
Space group F-43m (No. 216)
One atom of each set of equivalent atoms:
Sc1 0.0000 0.0000 0.0000  4 Mo 2.69, 4 Rh 2.69
Mo1 0.2500 0.2500 0.7500  4 Sc 2.69, 4 Rh 2.69
Rh1 0.0000 0.0000 0.5000  4 Mo 2.69, 4 Rh 2.69
Rh2 0.2500 0.2500 0.2500  4 Sc 2.69, 4 Rh 2.69